This record from the Alexandria database describes a geometry-optimized LiCr2Br structure. The functional is PBE.

Results
SG: Cmmm (65)
theoretical density: 4.11 Mg/m³
calculated total energy: -5.01 eV/atom
size of the total moment: 8.5 Bohr magnetons per cell

```
LiCr2Br
1.0
-0.720 4.304 -2.466
-3.558 -0.387 3.508
1.910 1.525 2.105
Br Cr Li
1 2 1
direct
0.000 0.500 0.500 Br
0.000 0.000 0.000 Cr
0.500 0.500 0.000 Cr
0.500 0.000 0.500 Li
```

=====

This record from the Alexandria database describes a geometry-optimized LiCr2Br structure. The functional is PBE.

Results
SG: I-42d (122)
theoretical density: 5.16 Mg/m³
calculated total energy: -5.14 eV/atom
size of the total moment: 0.0 Bohr magnetons per cell

```
LiCr2Br
1.0
-2.760 -1.022 -1.678
-0.538 -2.389 2.341
-7.613 5.157 5.965
Cr Br Li
4 2 2
direct
0.663 0.125 0.250 Cr
0.087 0.625 0.250 Cr
0.375 0.337 0.750 Cr
0.875 0.913 0.750 Cr
0.000 0.000 0.000 Br
0.750 0.250 0.500 Br
0.500 0.500 0.000 Li
0.250 0.750 0.500 Li
```

=====

This record from the Alexandria database describes a geometry-optimized LiCrBr2 structure. The functional is PBE.

Results
SG: P4mm (99)
theoretical density: 3.98 Mg/m³
calculated total energy: -4.37 eV/atom
size of the total moment: 5.0 Bohr magnetons per cell

```
LiCrBr2
1.0
-3.898 0.913 -0.130
-0.148 -0.062 4.003
1.291 5.533 0.133
Br Cr Li
2 1 1
direct
0.000 0.000 0.877 Br
0.500 0.500 0.377 Br
0.000 0.000 0.377 Cr
0.500 0.500 0.870 Li
```